# 1
Below is a relaxed LiCr2Tc crystal, with properties calculated at the PBE-GGA level.

As for the crystal system: orthorhombic. The energy of formation is 364 meV/atom.

The structure belongs to space group Cmmm (No. 65); the cell edges are 2.9223, 4.1749 and 8.7768 Å and the angles 90.00°, 90.00° and 90.00°. The distinct sites, in fractional coordinates, are Li at (0.0000, 0.0000, 0.0000), Cr at (0.0000, 0.5000, 0.2621) and Tc at (0.0000, 0.0000, 0.5000).

---

# 2
Below is a relaxed PmTl2GaCl6 crystal, with properties calculated at the PBE-GGA level.

For the uncorrected formation energy, the calculation gives -1.47 eV per atom. As for the crystal system: trigonal.

The structure belongs to space group R3 (No. 146, hexagonal axes); the cell edges are 7.7815, 7.7815 and 19.5655 Å and the angles 90.00°, 90.00° and 120.00°. The distinct sites, in fractional coordinates, are Pm at (0.0000, 0.0000, 0.0000), Tl at (0.0000, 0.0000, 0.2915), Tl at (0.0000, 0.0000, 0.7852), Ga at (0.0000, 0.0000, 0.5072), Cl at (0.0071, 0.4104, 0.7392) and Cl at (0.0838, 0.7135, 0.5783).

---

Sequential DFT total energy output: -60.1, -115.0 eV per cell
Sequential V output: 13.385, 34.204 Å³/atom